BaYCd2: relaxed, GGA-PBE.

a b c (Å): 7.992 7.992 7.992
angles (deg): 90.00 90.00 90.00
Space group Fm-3m (No. 225)
Symmetry-distinct sites (fractional):
Ba1 0.000 0.000 0.000 (multiplicity 4)
Y1 0.000 0.000 0.500 (multiplicity 4)
Cd1 0.250 0.250 0.250 (multiplicity 8)

Results
Total DFT energy (no corrections), eV for the cell shown: -44.0
ΔE_f, meV per atom: -198.7

TiMn2Se6: relaxed, GGA-PBE.

a b c (Å): 16.380 3.490 8.106
angles (deg): 90.00 113.32 90.00
Space group C2/m (No. 12)
Symmetry-distinct sites (fractional):
Ti1 0.000 0.000 0.000 (multiplicity 2)
Mn1 0.164 0.500 0.328 (multiplicity 4)
Se1 0.001 0.500 0.232 (multiplicity 4)
Se2 0.170 0.000 0.115 (multiplicity 4)
Se3 0.171 0.000 0.549 (multiplicity 4)

Results
Total DFT energy (no corrections), eV for the cell shown: -106.6
E_form (uncorrected), eV/atom: -0.6826